The following is a PBE calculation of a relaxed structure of Zr3Re2Au, from Alexandria via LeMat-Bulk.

a = 3.3268 Å, b = 3.3268 Å, c = 10.2390 Å
α = 90.00°, β = 90.00°, γ = 90.00°
Space group P4/mmm (No. 123)
Inequivalent atoms, fractional coordinates:
Zr 0.0000 0.0000 0.0000 x1
Zr 0.0000 0.0000 0.3160 x2
Re 0.5000 0.5000 0.1650 x2
Au 0.5000 0.5000 0.5000 x1

Calculated values
- volume (Å³ per cell) = 113
- E_tot (hartree per atom) = -0.34252
- magnetic moment (μB/cell) = 0.00

The following is a PBE calculation of a relaxed structure of ZrReAu2, from Alexandria via LeMat-Bulk.

a = 2.9115 Å, b = 2.9115 Å, c = 29.3640 Å
α = 90.00°, β = 90.00°, γ = 120.00°
Space group R3m (No. 160, hexagonal axes)
Inequivalent atoms, fractional coordinates:
Zr 0.0000 0.0000 0.0000 x3
Re 0.0000 0.0000 0.2477 x3
Au 0.0000 0.0000 0.5028 x3
Au 0.0000 0.0000 0.7517 x3

Calculated values
- volume (Å³ per cell) = 216
- E_tot (hartree per atom) = -0.24569
- energy relative to the lowest polymorph listed for this composition (eV per formula unit) = 1.03
- magnetic moment (μB/cell) = 0.00

The following is a PBE calculation of a relaxed structure of ZrReAu2, from Alexandria via LeMat-Bulk.

a = 3.4710 Å, b = 3.4710 Å, c = 6.0041 Å
α = 90.00°, β = 90.00°, γ = 90.00°
Space group P4mm (No. 99)
Inequivalent atoms, fractional coordinates:
Zr 0.0000 0.0000 0.0000 x1
Re 0.5000 0.5000 0.7593 x1
Au 0.0000 0.0000 0.5127 x1
Au 0.5000 0.5000 0.2688 x1

Calculated values
- volume (Å³ per cell) = 72
- E_tot (hartree per atom) = -0.25399
- energy relative to the lowest polymorph listed for this composition (eV per formula unit) = 0.13
- magnetic moment (μB/cell) = 0.00

The following is a PBE calculation of a relaxed structure of ZrRe2Au, from Alexandria via LeMat-Bulk.

a = 3.9119 Å, b = 3.9119 Å, c = 19.8576 Å
α = 90.00°, β = 90.00°, γ = 90.00°
Space group I-42d (No. 122)
Inequivalent atoms, fractional coordinates:
Zr 0.0000 0.0000 0.0000 x4
Re 0.1986 0.2500 0.6250 x8
Au 0.0000 0.0000 0.5000 x4

Calculated values
- volume (Å³ per cell) = 304
- E_tot (hartree per atom) = -0.31741
- energy relative to the lowest polymorph listed for this composition (eV per formula unit) = 2.37
- magnetic moment (μB/cell) = 0.00

The following is a PBE calculation of a relaxed structure of ZrRe2Au, from Alexandria via LeMat-Bulk.

a = 3.9813 Å, b = 3.9813 Å, c = 4.2604 Å
α = 90.00°, β = 90.00°, γ = 90.00°
Space group P4/mmm (No. 123)
Inequivalent atoms, fractional coordinates:
Zr 0.0000 0.0000 0.0000 x1
Re 0.0000 0.5000 0.5000 x2
Au 0.5000 0.5000 0.0000 x1

Calculated values
- volume (Å³ per cell) = 68
- E_tot (hartree per atom) = -0.33533
- energy relative to the lowest polymorph listed for this composition (eV per formula unit) = 0.42
- magnetic moment (μB/cell) = 0.00

The following is a PBE calculation of a relaxed structure of ZrRe2Au, from Alexandria via LeMat-Bulk.

a = 2.7424 Å, b = 2.7424 Å, c = 9.1231 Å
α = 90.00°, β = 90.00°, γ = 90.00°
Space group P4/mmm (No. 123)
Inequivalent atoms, fractional coordinates:
Zr 0.0000 0.0000 0.0000 x1
Re 0.5000 0.5000 0.2586 x2
Au 0.0000 0.0000 0.5000 x1

Calculated values
- volume (Å³ per cell) = 69
- E_tot (hartree per atom) = -0.32236
- energy relative to the lowest polymorph listed for this composition (eV per formula unit) = 1.84
- magnetic moment (μB/cell) = 0.00

Number 1: energy relative to the elements -0.35 eV/atom. Number 2: energy relative to the elements 0.20 eV/atom. Number 3: energy relative to the elements -0.02 eV/atom. Number 4: energy relative to the elements 0.54 eV/atom. Number 5: energy relative to the elements 0.06 eV/atom. Number 6: energy relative to the elements 0.41 eV/atom.